No. 1
Compound: LiTl5
Source: Alexandria
Functional: GGA-PBEsol
Structure: optimized geometry

DOS(E_F): 2.46 states/eV/f.u.
V: 154 Å³/cell
formation energy from the elements: -70 meV/atom
spin magnetization: 0.00 μB per cell
calculated density: 11.06 g cm⁻³
distance to the lowest polymorph of the same formula: 0 meV/atom

Unit cell a=3.378 b=3.378 c=13.533 alpha=90.00 beta=90.00 gamma=90.00
Fractional coordinates of all 6 atoms:
Li  0.000  0.000  0.000
Tl  0.000  0.000  0.313
Tl  0.000  0.000  0.687
Tl  0.500  0.500  0.136
Tl  0.500  0.500  0.500
Tl  0.500  0.500  0.864

=====

No. 2
Compound: Y2AgRh
Source: Alexandria
Functional: GGA-PBEsol
Structure: optimized geometry

DOS(E_F): 2.71 states/eV/f.u.
V: 91 Å³/cell
formation energy from the elements: -307 meV/atom
spin magnetization: 0.00 μB per cell
calculated density: 7.10 g cm⁻³

Unit cell a=3.853 b=3.951 c=5.974 alpha=90.00 beta=90.00 gamma=90.00
Fractional coordinates of all 4 atoms:
Y  0.000  0.000  0.000
Y  0.500  0.500  0.377
Ag  0.000  0.000  0.531
Rh  0.500  0.500  0.903

=====

No. 3
Compound: MnCr2As
Source: Alexandria
Functional: GGA-PBEsol
Structure: optimized geometry

DOS(E_F): 3.55 states/eV/f.u.
V: 47 Å³/cell
formation energy from the elements: 120 meV/atom
spin magnetization: 0.00 μB per cell
calculated density: 8.23 g cm⁻³

Unit cell a=2.663 b=3.909 c=4.580 alpha=90.00 beta=98.40 gamma=90.00
Fractional coordinates of all 4 atoms:
Mn  0.000  0.000  0.000
Cr  0.356  0.500  0.795
Cr  0.596  0.000  0.529
As  0.008  0.500  0.286

=====

No. 4
Compound: MnZnCo2
Source: Alexandria
Functional: GGA-PBEsol
Structure: optimized geometry

DOS(E_F): 3.14 states/eV/f.u.
V: 44 Å³/cell
formation energy from the elements: 77 meV/atom
spin magnetization: 2.40 μB per cell
calculated density: 8.97 g cm⁻³

Unit cell a=4.406 b=4.406 c=4.406 alpha=133.59 beta=133.59 gamma=67.74
Fractional coordinates of all 4 atoms:
Mn  0.000  0.000  0.000
Zn  0.750  0.250  0.500
Co  0.250  0.750  0.500
Co  0.500  0.500  0.000

=====

No. 5
Compound: Rb3SI
Source: Alexandria
Functional: GGA-PBEsol
Structure: optimized geometry

V: 242 Å³/cell
spin magnetization: 0.00 μB per cell
final energy: -14.77 eV/cell
calculated density: 2.85 g cm⁻³

Unit cell a=6.232 b=6.232 c=6.232 alpha=90.00 beta=90.00 gamma=90.00
Fractional coordinates of all 5 atoms:
Rb  0.000  0.000  0.500
Rb  0.000  0.500  0.000
Rb  0.500  0.000  0.000
S  0.000  0.000  0.000
I  0.500  0.500  0.500

=====

No. 6
Compound: LiAg2F4
Source: Alexandria
Functional: GGA-PBEsol
Structure: optimized geometry

DOS(E_F): 2.19 states/eV/f.u.
V: 190 Å³/cell
spin magnetization: 0.00 μB per cell
calculated density: 5.22 g cm⁻³
distance to the lowest polymorph of the same formula: 6 meV/atom

Unit cell a=5.416 b=5.416 c=6.681 alpha=90.00 beta=90.00 gamma=75.79
Fractional coordinates of all 14 atoms:
Li  0.000  0.000  0.000
Li  0.500  0.500  0.500
Ag  0.003  0.497  0.250
Ag  0.497  0.003  0.750
Ag  0.503  0.997  0.250
Ag  0.997  0.503  0.750
F  0.217  0.217  0.000
F  0.239  0.761  0.768
F  0.261  0.739  0.268
F  0.283  0.283  0.500
F  0.717  0.717  0.500
F  0.739  0.261  0.732
F  0.761  0.239  0.232
F  0.783  0.783  0.000

=====

No. 7
Compound: Tl2CuSi
Source: Alexandria
Functional: GGA-PBEsol
Structure: optimized geometry

DOS(E_F): 1.72 states/eV/f.u.
V: 82 Å³/cell
spin magnetization: 0.00 μB per cell
calculated density: 10.19 g cm⁻³
distance to the lowest polymorph of the same formula: 262 meV/atom

Unit cell a=3.989 b=4.158 c=4.917 alpha=90.00 beta=90.00 gamma=90.00
Fractional coordinates of all 4 atoms:
Tl  0.000  0.000  0.000
Tl  0.000  0.500  0.500
Cu  0.500  0.000  0.500
Si  0.500  0.500  0.000

=====

No. 8
Compound: NbSn2Rh
Source: Alexandria
Functional: GGA-PBEsol
Structure: optimized geometry

DOS(E_F): 5.62 states/eV/f.u.
V: 72 Å³/cell
formation energy from the elements: -78 meV/atom
spin magnetization: 0.07 μB per cell
calculated density: 9.99 g cm⁻³

Unit cell a=4.670 b=4.670 c=4.670 alpha=60.00 beta=60.00 gamma=60.00
Fractional coordinates of all 4 atoms:
Nb  0.000  0.000  0.000
Sn  0.250  0.250  0.250
Sn  0.750  0.750  0.750
Rh  0.500  0.500  0.500

=====

No. 9
Compound: RuRhPb
Source: Alexandria
Functional: GGA-PBEsol
Structure: optimized geometry

DOS(E_F): 3.14 states/eV/f.u.
V: 51 Å³/cell
formation energy from the elements: 572 meV/atom
spin magnetization: 0.00 μB per cell
calculated density: 13.45 g cm⁻³

Unit cell a=3.001 b=3.001 c=6.509 alpha=90.00 beta=90.00 gamma=120.00
Fractional coordinates of all 3 atoms:
Ru  0.000  0.000  0.000
Rh  0.667  0.333  0.295
Pb  0.333  0.667  0.647

=====

No. 10
Compound: Zr3GaSe
Source: Alexandria
Functional: GGA-PBEsol
Structure: optimized geometry

DOS(E_F): 5.75 states/eV/f.u.
V: 117 Å³/cell
spin magnetization: 0.00 μB per cell
final energy: -34.69 eV/cell
calculated density: 5.98 g cm⁻³

Unit cell a=4.895 b=4.895 c=4.895 alpha=90.00 beta=90.00 gamma=90.00
Fractional coordinates of all 5 atoms:
Zr  0.000  0.000  0.500
Zr  0.000  0.500  0.000
Zr  0.500  0.000  0.000
Ga  0.500  0.500  0.500
Se  0.000  0.000  0.000

=====

No. 11
Compound: Zn2AgHg
Source: Alexandria
Functional: GGA-PBEsol
Structure: optimized geometry

DOS(E_F): 0.97 states/eV/f.u.
V: 66 Å³/cell
formation energy from the elements: 21 meV/atom
spin magnetization: 0.00 μB per cell
calculated density: 11.00 g cm⁻³

Unit cell a=3.425 b=3.425 c=5.654 alpha=90.00 beta=90.00 gamma=90.00
Fractional coordinates of all 4 atoms:
Zn  0.000  0.000  0.000
Zn  0.500  0.500  0.243
Ag  0.000  0.000  0.465
Hg  0.500  0.500  0.750

=====

No. 12
Compound: TaAgTe2
Source: Alexandria
Functional: GGA-PBEsol
Structure: optimized geometry

DOS(E_F): 2.31 states/eV/f.u.
V: 246 Å³/cell
spin magnetization: 3.78 μB per cell
final energy: -43.01 eV/cell
calculated density: 7.33 g cm⁻³

Unit cell a=7.664 b=7.664 c=7.664 alpha=131.62 beta=131.62 gamma=70.83
Fractional coordinates of all 8 atoms:
Ta  0.000  0.000  0.000
Ta  0.750  0.250  0.500
Ag  0.250  0.750  0.500
Ag  0.500  0.500  0.000
Te  0.117  0.625  0.992
Te  0.375  0.367  0.492
Te  0.633  0.125  0.008
Te  0.875  0.883  0.508